# 1
Entry from Alexandria via LeMat-Bulk: a geometry-optimized LaLuCdPt structure (PBE-GGA).

energy relative to the elements: -661 meV per atom
DOS(E_F): 14.796 states/eV/cell
crystal system: cubic
E_tot: -76.2 eV for the cell shown

Cell: 7.334 7.334 7.334 Å, 90.00 90.00 90.00°
Space group F-43m (No. 216)
Asymmetric unit:
La  0.000  0.000  0.000 [4 per cell]
Lu  0.000  0.000  0.500 [4 per cell]
Cd  0.250  0.250  0.750 [4 per cell]
Pt  0.250  0.250  0.250 [4 per cell]

# 2
Entry from Alexandria via LeMat-Bulk: a geometry-optimized LaLuCdRu structure (PBE-GGA).

energy relative to the elements: -217 meV per atom
DOS(E_F): 13.617 states/eV/cell
crystal system: cubic
E_tot: -82.0 eV for the cell shown

Cell: 7.237 7.237 7.237 Å, 90.00 90.00 90.00°
Space group F-43m (No. 216)
Asymmetric unit:
La  0.000  0.000  0.000 [4 per cell]
Lu  0.000  0.000  0.500 [4 per cell]
Cd  0.250  0.250  0.750 [4 per cell]
Ru  0.250  0.250  0.250 [4 per cell]

# 3
Entry from Alexandria via LeMat-Bulk: a geometry-optimized LaLuScCd structure (PBE-GGA).

energy relative to the elements: -23 meV per atom
DOS(E_F): 20.973 states/eV/cell
crystal system: cubic
E_tot: -67.1 eV for the cell shown

Cell: 7.625 7.625 7.625 Å, 90.00 90.00 90.00°
Space group F-43m (No. 216)
Asymmetric unit:
La  0.000  0.000  0.000 [4 per cell]
Lu  0.250  0.250  0.250 [4 per cell]
Sc  0.000  0.000  0.500 [4 per cell]
Cd  0.250  0.250  0.750 [4 per cell]

# 4
Entry from Alexandria via LeMat-Bulk: a geometry-optimized LaSmLuCd structure (PBE-GGA).

energy relative to the elements: -67 meV per atom
DOS(E_F): 19.521 states/eV/cell
crystal system: cubic
E_tot: -61.4 eV for the cell shown

Cell: 7.850 7.850 7.850 Å, 90.00 90.00 90.00°
Space group F-43m (No. 216)
Asymmetric unit:
La  0.000  0.000  0.000 [4 per cell]
Sm  0.000  0.000  0.500 [4 per cell]
Lu  0.250  0.250  0.750 [4 per cell]
Cd  0.250  0.250  0.250 [4 per cell]

# 5
Entry from Alexandria via LeMat-Bulk: a geometry-optimized LaLuThCd structure (PBE-GGA).

energy relative to the elements: 21 meV per atom
DOS(E_F): 25.312 states/eV/cell
crystal system: cubic
E_tot: -70.8 eV for the cell shown

Cell: 7.850 7.850 7.850 Å, 90.00 90.00 90.00°
Space group F-43m (No. 216)
Asymmetric unit:
La  0.000  0.000  0.000 [4 per cell]
Lu  0.250  0.250  0.750 [4 per cell]
Th  0.000  0.000  0.500 [4 per cell]
Cd  0.250  0.250  0.250 [4 per cell]

# 6
Entry from Alexandria via LeMat-Bulk: a geometry-optimized LaLuTlCd structure (PBE-GGA).

energy relative to the elements: -334 meV per atom
DOS(E_F): 15.896 states/eV/cell
crystal system: cubic
E_tot: -56.3 eV for the cell shown

Cell: 7.690 7.690 7.690 Å, 90.00 90.00 90.00°
Space group F-43m (No. 216)
Asymmetric unit:
La  0.000  0.000  0.000 [4 per cell]
Lu  0.000  0.000  0.500 [4 per cell]
Tl  0.250  0.250  0.750 [4 per cell]
Cd  0.250  0.250  0.250 [4 per cell]

# 7
Entry from Alexandria via LeMat-Bulk: a geometry-optimized LaMgCd2 structure (PBE-GGA).

energy relative to the elements: -259 meV per atom
DOS(E_F): 7.908 states/eV/cell
crystal system: cubic
E_tot: -37.6 eV for the cell shown

Cell: 7.389 7.389 7.389 Å, 90.00 90.00 90.00°
Space group F-43m (No. 216)
Asymmetric unit:
La  0.000  0.000  0.000 [4 per cell]
Mg  0.250  0.250  0.250 [4 per cell]
Cd  0.000  0.000  0.500 [4 per cell]
Cd  0.250  0.250  0.750 [4 per cell]

# 8
Entry from Alexandria via LeMat-Bulk: a geometry-optimized LaMgCd2 structure (PBE-GGA).

energy relative to the elements: -160 meV per atom
DOS(E_F): 2.565 states/eV/cell
crystal system: orthorhombic
E_tot: -9.0 eV for the cell shown

Cell: 3.462 3.927 7.722 Å, 90.00 90.00 90.00°
Space group Pmm2 (No. 25)
Asymmetric unit:
La  0.000  0.000  0.000 [1 per cell]
Mg  0.500  0.500  0.301 [1 per cell]
Cd  0.000  0.000  0.500 [1 per cell]
Cd  0.500  0.500  0.722 [1 per cell]

# 9
Entry from Alexandria via LeMat-Bulk: a geometry-optimized LaMg14Cd structure (PBE-GGA).

energy relative to the elements: -12 meV per atom
DOS(E_F): 13.916 states/eV/cell
crystal system: orthorhombic
E_tot: -56.7 eV for the cell shown
excess energy over the best structure of this formula in the dataset: 0.0 meV per atom

Cell: 10.332 6.501 11.526 Å, 90.00 90.00 90.00°
Space group Amm2 (No. 38)
Asymmetric unit:
La  0.000  0.000  0.000 [2 per cell]
Mg  0.000  0.242  0.251 [4 per cell]
Mg  0.233  0.000  0.651 [4 per cell]
Mg  0.255  0.250  0.404 [8 per cell]
Mg  0.259  0.000  0.159 [4 per cell]
Mg  0.500  0.000  0.491 [2 per cell]
Mg  0.500  0.000  0.990 [2 per cell]
Mg  0.500  0.244  0.739 [4 per cell]
Cd  0.000  0.000  0.480 [2 per cell]

# 10
Entry from Alexandria via LeMat-Bulk: a geometry-optimized LaMg9Cd2 structure (PBE-GGA).

energy relative to the elements: -110 meV per atom
DOS(E_F): 24.275 states/eV/cell
crystal system: tetragonal
E_tot: -89.7 eV for the cell shown
excess energy over the best structure of this formula in the dataset: 0.0 meV per atom

Cell: 12.138 12.138 7.791 Å, 90.00 90.00 90.00°
Space group I4_1/amd (No. 141, origin choice 2)
Asymmetric unit:
La  0.000  0.250  0.375 [4 per cell]
Mg  0.000  0.250  0.875 [4 per cell]
Mg  0.122  0.048  0.679 [32 per cell]
Cd  0.000  0.000  0.000 [8 per cell]

# 11
Entry from Alexandria via LeMat-Bulk: a geometry-optimized LaMg6Cd4 structure (PBE-GGA).

energy relative to the elements: -160 meV per atom
DOS(E_F): 5.637 states/eV/cell
crystal system: hexagonal
E_tot: -19.9 eV for the cell shown

Cell: 8.0800 8.0800 4.6501 Å, 90.00 90.00 120.00°
Space group P-6m2 (No. 187)
Asymmetric unit:
La  0.0000  0.0000  0.0000 [1 per cell]
Mg  0.2032  0.4064  0.5000 [3 per cell]
Mg  0.5340  0.0680  0.0000 [3 per cell]
Cd  0.3333  0.6667  0.0000 [1 per cell]
Cd  0.4020  0.2010  0.5000 [3 per cell]

# 12
Entry from Alexandria via LeMat-Bulk: a geometry-optimized LaMgCd2 structure (PBE-GGA).

energy relative to the elements: -155 meV per atom
DOS(E_F): 5.489 states/eV/cell
crystal system: monoclinic
E_tot: -17.9 eV for the cell shown

Cell: 9.937 3.454 6.442 Å, 90.00 101.62 90.00°
Space group C2/m (No. 12)
Asymmetric unit:
La  0.000  0.000  0.000 [2 per cell]
Mg  0.000  0.500  0.500 [2 per cell]
Cd  0.241  0.000  0.705 [4 per cell]